This record from Alexandria via LeMat-Bulk describes AlGaFe2Hg after structural relaxation. The functional is PBE. Values from VASP.

total magnetic moment: 4.911 μB/f.u.
ΔE_f: 0.97 eV/atom

Structure (Quantum ESPRESSO input):
```
&SYSTEM
  ibrav = 0, nat = 5, ntyp = 4
/
ATOMIC_SPECIES
Al 26.98 Al.upf
Hg 200.59 Hg.upf
Ga 69.72 Ga.upf
Fe 55.84 Fe.upf
CELL_PARAMETERS angstrom
4.454 0.000 0.000
0.000 4.804 0.000
0.000 0.000 4.454
ATOMIC_POSITIONS crystal
Al 0.500 0.500 0.500
Hg 0.000 0.500 0.000
Ga 0.000 0.000 0.000
Fe 0.000 0.000 0.500
Fe 0.500 0.000 0.000
```